DFT (PBE with a Hubbard U) results for a geometry-optimized DyMoIO4 structure.

## Properties
- Density: 5.540 Mg/m³
- Space group: C2/m
- E_tot: -6.791 eV/atom
- M_tot: 0.000 μB per atom

Lattice parameters (Å, degrees): 6.537 6.537 7.120 76.47 76.47 67.28
Element x y z (fractional)
O: 0.303 0.303 0.525
O: 0.886 0.502 0.851
O: 0.697 0.697 0.475
O: 0.502 0.886 0.851
O: 0.114 0.498 0.149
O: 0.464 0.464 0.799
O: 0.536 0.536 0.201
O: 0.498 0.114 0.149
Dy: 0.755 0.755 0.133
Dy: 0.245 0.245 0.867
Mo: 0.365 0.365 0.265
Mo: 0.635 0.635 0.735
I: 0.018 0.018 0.247
I: 0.982 0.982 0.753